Entry 1:
VASP calculation (GGA-PBE) on a relaxed LaGe6Te8 crystal.

Properties
- Magnetization: 0.0 Bohr magnetons per cell

Lattice parameters (Å, degrees): 8.019 8.019 8.019 79.30 79.30 79.30
Fractional coordinates of all 15 atoms:
1 La 0.000 0.000 0.000
2 Ge 0.131 0.368 0.593
3 Ge 0.368 0.593 0.131
4 Ge 0.407 0.869 0.632
5 Ge 0.593 0.131 0.368
6 Ge 0.632 0.407 0.869
7 Ge 0.869 0.632 0.407
8 Te 0.148 0.804 0.346
9 Te 0.196 0.654 0.852
10 Te 0.271 0.271 0.271
11 Te 0.346 0.148 0.804
12 Te 0.654 0.852 0.196
13 Te 0.729 0.729 0.729
14 Te 0.804 0.346 0.148
15 Te 0.852 0.196 0.654

Entry 2:
VASP calculation (GGA-PBE) on a relaxed LaGe2Te crystal.

Properties
- Magnetization: 0.0 Bohr magnetons per cell

Lattice parameters (Å, degrees): 6.688 6.688 6.688 102.51 102.51 124.53
Fractional coordinates of all 8 atoms:
1 La 0.000 0.000 0.000
2 La 0.750 0.250 0.500
3 Ge 0.140 0.625 0.015
4 Ge 0.375 0.390 0.515
5 Ge 0.610 0.125 0.985
6 Ge 0.875 0.860 0.485
7 Te 0.250 0.750 0.500
8 Te 0.500 0.500 0.000

no.,ΔE_f (raw) (meV per atom)
1,-245
2,-241